VASP calculation (GGA-PBE) on NpCo4AsP2 after structural relaxation.

Cell: 3.714 3.714 7.999 Å, 90.00 90.00 90.00°
Fractional coordinates of all 8 atoms:
Np 0.000 0.000 0.000
Co 0.000 0.500 0.322
Co 0.000 0.500 0.678
Co 0.500 0.000 0.322
Co 0.500 0.000 0.678
As 0.000 0.000 0.500
P 0.500 0.500 0.175
P 0.500 0.500 0.825

Properties
As for the energy of formation from the pure elements: -0.53 eV per atom. The density of states at the Fermi level is 10.15 states/eV per cell.